# 1
First-principles (PBE-GGA) data for a relaxed structure of Nd2GaAgTe5, as listed in the Alexandria database.

abc: 10.100 10.100 12.798
angles: 90.00 90.00 155.48
Fractional coordinates of all 18 atoms:
Nd: 0.116 0.884 0.500
Nd: 0.128 0.872 0.118
Nd: 0.872 0.128 0.618
Nd: 0.884 0.116 0.000
Ga: 0.426 0.574 0.277
Ga: 0.574 0.426 0.777
Ag: 0.220 0.780 0.837
Ag: 0.780 0.220 0.337
Te: 0.042 0.958 0.892
Te: 0.286 0.714 0.491
Te: 0.313 0.687 0.166
Te: 0.363 0.637 0.813
Te: 0.498 0.502 0.100
Te: 0.502 0.498 0.600
Te: 0.637 0.363 0.313
Te: 0.687 0.313 0.666
Te: 0.714 0.286 0.991
Te: 0.958 0.042 0.392

## Properties
E, eV per atom: -4.328
M_tot, μB/cell: 0.00
Uncorrected formation energy, meV/atom: -870

# 2
First-principles (PBE-GGA) data for a relaxed structure of CoIrCl2, as listed in the Alexandria database.

abc: 6.241 6.241 6.241
angles: 90.00 90.00 90.00
Fractional coordinates of all 16 atoms:
Co: 0.000 0.000 0.000
Co: 0.000 0.500 0.500
Co: 0.500 0.000 0.500
Co: 0.500 0.500 0.000
Ir: 0.000 0.000 0.500
Ir: 0.000 0.500 0.000
Ir: 0.500 0.000 0.000
Ir: 0.500 0.500 0.500
Cl: 0.250 0.250 0.250
Cl: 0.250 0.250 0.750
Cl: 0.250 0.750 0.250
Cl: 0.250 0.750 0.750
Cl: 0.750 0.250 0.250
Cl: 0.750 0.250 0.750
Cl: 0.750 0.750 0.250
Cl: 0.750 0.750 0.750

## Properties
E, eV per atom: -3.914
M_tot, μB/cell: 12.48
Uncorrected formation energy, meV/atom: 1001

# 3
First-principles (PBE-GGA) data for a relaxed structure of MnSi, as listed in the Alexandria database.

abc: 6.417 6.417 4.282
angles: 90.00 90.00 120.00
Fractional coordinates of all 12 atoms:
Mn: 0.107 0.462 0.250
Mn: 0.355 0.893 0.250
Mn: 0.462 0.355 0.750
Mn: 0.538 0.645 0.250
Mn: 0.645 0.107 0.750
Mn: 0.893 0.538 0.750
Si: 0.061 0.283 0.750
Si: 0.222 0.939 0.750
Si: 0.283 0.222 0.250
Si: 0.717 0.778 0.750
Si: 0.778 0.061 0.250
Si: 0.939 0.717 0.250

## Properties
E, eV per atom: -7.244
M_tot, μB/cell: 0.01
Uncorrected formation energy, meV/atom: 52

# 4
First-principles (PBE-GGA) data for a relaxed structure of HfCo2As2, as listed in the Alexandria database.

abc: 6.901 6.901 3.082
angles: 90.00 90.00 90.00
Fractional coordinates of all 10 atoms:
Hf: 0.000 0.000 0.000
Hf: 0.500 0.500 0.000
Co: 0.124 0.376 0.000
Co: 0.376 0.876 0.000
Co: 0.624 0.124 0.000
Co: 0.876 0.624 0.000
As: 0.174 0.674 0.500
As: 0.326 0.174 0.500
As: 0.674 0.826 0.500
As: 0.826 0.326 0.500

## Properties
E, eV per atom: -6.879
M_tot, μB/cell: 2.61

# 5
First-principles (PBE-GGA) data for a relaxed structure of Pm12AgRh6, as listed in the Alexandria database.

abc: 8.461 8.461 8.461
angles: 101.70 101.70 101.70
Fractional coordinates of all 19 atoms:
Pm: 0.067 0.668 0.922
Pm: 0.078 0.933 0.332
Pm: 0.175 0.417 0.568
Pm: 0.332 0.078 0.933
Pm: 0.417 0.568 0.175
Pm: 0.432 0.825 0.583
Pm: 0.568 0.175 0.417
Pm: 0.583 0.432 0.825
Pm: 0.668 0.922 0.067
Pm: 0.825 0.583 0.432
Pm: 0.922 0.067 0.668
Pm: 0.933 0.332 0.078
Ag: 0.000 0.000 0.000
Rh: 0.138 0.615 0.309
Rh: 0.309 0.138 0.615
Rh: 0.385 0.691 0.862
Rh: 0.615 0.309 0.138
Rh: 0.691 0.862 0.385
Rh: 0.862 0.385 0.691

## Properties
E, eV per atom: -5.901
M_tot, μB/cell: 0.00

# 6
First-principles (PBE-GGA) data for a relaxed structure of RbErMnI6, as listed in the Alexandria database.

abc: 7.689 7.689 16.557
angles: 90.00 90.00 120.00
Fractional coordinates of all 18 atoms:
Rb: 0.000 0.000 0.000
Rb: 0.000 0.000 0.500
Er: 0.333 0.667 0.250
Er: 0.667 0.333 0.750
Mn: 0.333 0.667 0.750
Mn: 0.667 0.333 0.250
I: 0.009 0.375 0.647
I: 0.009 0.634 0.853
I: 0.366 0.375 0.853
I: 0.366 0.991 0.647
I: 0.375 0.009 0.147
I: 0.375 0.366 0.353
I: 0.625 0.634 0.647
I: 0.625 0.991 0.853
I: 0.634 0.009 0.353
I: 0.634 0.625 0.147
I: 0.991 0.366 0.147
I: 0.991 0.625 0.353

## Properties
E, eV per atom: -3.755
M_tot, μB/cell: 10.00
Uncorrected formation energy, meV/atom: -1089

# 7
First-principles (PBE-GGA) data for a relaxed structure of Na3Pm3TiO8, as listed in the Alexandria database.

abc: 6.840 6.840 6.840
angles: 60.35 60.35 60.35
Fractional coordinates of all 15 atoms:
Na: 0.000 0.500 0.500
Na: 0.500 0.000 0.500
Na: 0.500 0.500 0.000
Pm: 0.000 0.000 0.500
Pm: 0.000 0.500 0.000
Pm: 0.500 0.000 0.000
Ti: 0.500 0.500 0.500
O: 0.239 0.239 0.239
O: 0.275 0.710 0.710
O: 0.290 0.290 0.725
O: 0.290 0.725 0.290
O: 0.710 0.275 0.710
O: 0.710 0.710 0.275
O: 0.725 0.290 0.290
O: 0.761 0.761 0.761

## Properties
E, eV per atom: -7.111
M_tot, μB/cell: 0.00
Uncorrected formation energy, meV/atom: -2726

# 8
First-principles (PBE-GGA) data for a relaxed structure of Mn2NbS2, as listed in the Alexandria database.

abc: 6.756 6.756 3.100
angles: 90.00 90.00 90.00
Fractional coordinates of all 10 atoms:
Mn: 0.132 0.368 0.000
Mn: 0.368 0.868 0.000
Mn: 0.632 0.132 0.000
Mn: 0.868 0.632 0.000
Nb: 0.000 0.000 0.000
Nb: 0.500 0.500 0.000
S: 0.174 0.674 0.500
S: 0.326 0.174 0.500
S: 0.674 0.826 0.500
S: 0.826 0.326 0.500

## Properties
E, eV per atom: -7.283
M_tot, μB/cell: 9.91
Uncorrected formation energy, meV/atom: 50

# 9
First-principles (PBE-GGA) data for a relaxed structure of HgBi2BRu, as listed in the Alexandria database.

abc: 5.455 5.455 4.004
angles: 90.00 90.00 90.00
Fractional coordinates of all 5 atoms:
Hg: 0.000 0.000 0.000
Bi: 0.000 0.500 0.500
Bi: 0.500 0.000 0.500
B: 0.500 0.500 0.000
Ru: 0.500 0.500 0.500

## Properties
E, eV per atom: -4.289
M_tot, μB/cell: 0.00

# 10
First-principles (PBE-GGA) data for a relaxed structure of Li2ScN, as listed in the Alexandria database.

abc: 3.214 3.214 20.516
angles: 90.00 90.00 90.00
Fractional coordinates of all 16 atoms:
Li: 0.211 0.250 0.125
Li: 0.250 0.711 0.375
Li: 0.250 0.789 0.875
Li: 0.289 0.250 0.625
Li: 0.711 0.750 0.625
Li: 0.750 0.211 0.875
Li: 0.750 0.289 0.375
Li: 0.789 0.750 0.125
Sc: 0.000 0.000 0.500
Sc: 0.000 0.500 0.750
Sc: 0.500 0.000 0.250
Sc: 0.500 0.500 0.000
N: 0.000 0.000 0.000
N: 0.000 0.500 0.250
N: 0.500 0.000 0.750
N: 0.500 0.500 0.500

## Properties
E, eV per atom: -4.910
M_tot, μB/cell: 0.00
Uncorrected formation energy, meV/atom: -289

# 11
First-principles (PBE-GGA) data for a relaxed structure of SrPmOs4, as listed in the Alexandria database.

abc: 5.447 5.447 5.447
angles: 60.00 60.00 60.00
Fractional coordinates of all 6 atoms:
Sr: 0.000 0.000 0.000
Pm: 0.750 0.750 0.750
Os: 0.375 0.375 0.375
Os: 0.375 0.375 0.875
Os: 0.375 0.875 0.375
Os: 0.875 0.375 0.375

## Properties
E, eV per atom: -8.395
M_tot, μB/cell: 0.00

# 12
First-principles (PBE-GGA) data for a relaxed structure of Rb4SrU3S12, as listed in the Alexandria database.

abc: 9.157 9.157 9.157
angles: 109.47 109.47 109.47
Fractional coordinates of all 20 atoms:
Rb: 0.000 0.000 0.500
Rb: 0.000 0.500 0.000
Rb: 0.500 0.000 0.000
Rb: 0.500 0.500 0.500
Sr: 0.000 0.000 0.000
U: 0.000 0.500 0.500
U: 0.500 0.000 0.500
U: 0.500 0.500 0.000
S: 0.000 0.270 0.270
S: 0.000 0.730 0.730
S: 0.250 0.500 0.750
S: 0.250 0.750 0.500
S: 0.270 0.000 0.270
S: 0.270 0.270 0.000
S: 0.500 0.250 0.750
S: 0.500 0.750 0.250
S: 0.730 0.000 0.730
S: 0.730 0.730 0.000
S: 0.750 0.250 0.500
S: 0.750 0.500 0.250

## Properties
E, eV per atom: -5.773
M_tot, μB/cell: 0.31
Uncorrected formation energy, meV/atom: -1326